<a>
This record from Alexandria describes an optimized crystal structure of TbNdScIn. The functional is GGA-PBE.

```
4
Lattice="5.418 0.000 0.000 2.709 4.692 0.000 2.709 1.564 4.424" Properties=species:S:1:pos:R:3 pbc="T T T"
Nd 8.127 4.692 3.318
Sc 5.418 3.128 2.212
Tb 2.709 1.564 1.106
In 0.000 0.000 0.000
```

Summary:
Total magnetization: 1.2 μB/cell


<b>
This record from Alexandria describes an optimized crystal structure of TbNdScIn. The functional is GGA-PBE.

```
4
Lattice="5.380 0.000 0.000 0.000 5.380 0.000 -2.690 -2.690 3.805" Properties=species:S:1:pos:R:3 pbc="T T T"
Sc 0.000 2.690 1.902
Tb 2.690 0.000 1.902
In 2.690 2.690 0.000
Nd 0.000 0.000 0.000
```

Summary:
Total magnetization: 1.7 μB/cell


<a> (72 meV/atom below the next structure)


<a>
This record from Alexandria describes an optimized crystal structure of NdTmScIn. The functional is GGA-PBE.

```
4
Lattice="5.347 0.000 0.000 0.000 5.347 0.000 -2.674 -2.674 3.781" Properties=species:S:1:pos:R:3 pbc="T T T"
In 0.000 2.674 1.891
Sc 0.000 0.000 0.000
Nd 2.674 0.000 1.891
Tm 2.674 2.674 0.000
```

Summary:
Total magnetization: 1.9 μB/cell


<b>
This record from Alexandria describes an optimized crystal structure of NdTmScIn. The functional is GGA-PBE.

```
4
Lattice="-1.268 -3.829 -3.563 0.080 -5.177 1.470 -4.613 -2.725 0.505" Properties=species:S:1:pos:R:3 pbc="T T T"
Nd -1.450 -2.933 -0.397
Sc 0.000 0.000 0.000
In -2.901 -5.865 -0.794
Tm -4.351 -8.798 -1.191
```

Summary:
Total magnetization: 1.0 μB/cell


<b> (68 meV/atom below the next structure)


<a>
This record from Alexandria describes an optimized crystal structure of Nd6Sm2In. The functional is GGA-PBE.

```
18
Lattice="5.034 0.000 0.246 0.000 10.915 0.000 -0.532 0.000 10.903" Properties=species:S:1:pos:R:3 pbc="T T T"
Nd 2.335 9.169 3.831
Nd 2.161 5.463 7.399
Nd 4.586 7.203 9.404
Nd -0.085 3.712 1.744
Nd 4.768 7.283 5.691
Nd 2.517 1.825 0.129
Nd 4.945 10.910 2.071
Nd -0.443 0.005 9.077
Nd 2.166 1.746 7.318
Nd -0.266 3.632 5.457
Nd 2.340 5.452 3.749
Nd 1.985 9.090 11.020
Sm 2.337 1.756 3.820
Sm 2.165 9.159 7.328
Sm -0.446 3.701 9.148
Sm 4.948 7.214 2.000
In -0.266 0.000 5.451
In 2.517 5.457 0.123
```

Summary:
Total magnetization: 0.0 μB/cell


<b>
This record from Alexandria describes an optimized crystal structure of Nd6Sm2In. The functional is GGA-PBE.

```
18
Lattice="-3.252 11.119 0.548 2.087 -1.467 5.771 5.398 9.846 -2.905" Properties=species:S:1:pos:R:3 pbc="T T T"
Nd 1.185 12.965 4.583
Nd 1.246 1.196 0.845
Nd 1.048 0.645 4.226
Nd 4.464 13.062 -0.027
Nd 0.423 8.860 -0.351
Nd 2.986 18.302 2.570
Nd 3.184 18.853 -0.811
Nd 1.511 11.556 1.381
Nd 2.722 7.942 2.033
Nd 3.048 6.533 -1.169
Nd 3.810 10.637 3.766
Nd -0.232 6.436 3.442
Sm 1.840 15.183 1.044
Sm 4.258 14.247 3.382
Sm -0.025 5.251 0.033
Sm 2.392 4.315 2.370
In 3.751 9.798 -0.596
In 0.482 9.699 4.011
```

Summary:
Total magnetization: 0.0 μB/cell


<a> (24 meV/atom below the next structure)